(1)
DFT (PBE) results for an optimized crystal structure of La2Fe.

Unit cell a=4.9120 b=4.9120 c=3.4067 alpha=90.00 beta=90.00 gamma=90.00
Element x y z (fractional)
La 0.0000 0.5000 0.0000
La 0.5000 0.0000 0.0000
Fe 0.0000 0.0000 0.5000

Properties
Formation enthalpy at 0 K = 0.2800 eV/atom
Crystal system = tetragonal
SG = P4/mmm (123)
Calculated volume = 82.20 Å³ per cell

=====

(2)
DFT (PBE) results for an optimized crystal structure of LaFe2.

Unit cell a=7.4984 b=7.4984 c=3.1515 alpha=90.00 beta=90.00 gamma=141.87
Element x y z (fractional)
La 0.1095 0.8905 0.7500
La 0.8905 0.1095 0.2500
Fe 0.2877 0.7123 0.2500
Fe 0.4312 0.5688 0.7500
Fe 0.5688 0.4312 0.2500
Fe 0.7123 0.2877 0.7500

Properties
Formation enthalpy at 0 K = 0.4602 eV/atom
Crystal system = orthorhombic
SG = Cmcm (63)
Calculated volume = 109.42 Å³ per cell

=====

(3)
DFT (PBE) results for an optimized crystal structure of LaFe.

Unit cell a=3.2943 b=3.2943 c=8.5459 alpha=90.00 beta=90.00 gamma=90.00
Element x y z (fractional)
La 0.2500 0.2500 0.1988
La 0.7500 0.7500 0.8012
Fe 0.2500 0.2500 0.5577
Fe 0.7500 0.7500 0.4423

Properties
Formation enthalpy at 0 K = 0.2432 eV/atom
Crystal system = tetragonal
SG = P4/nmm (129)
Calculated volume = 92.75 Å³ per cell

=====

(4)
DFT (PBE) results for an optimized crystal structure of La3Fe4.

Unit cell a=14.0941 b=14.0941 c=14.0941 alpha=166.65 beta=166.65 gamma=18.92
Element x y z (fractional)
La 0.0000 0.0000 0.0000
La 0.3114 0.3114 0.0000
La 0.6886 0.6886 0.0000
Fe 0.1134 0.1134 0.0000
Fe 0.4209 0.4209 0.0000
Fe 0.5791 0.5791 0.0000
Fe 0.8866 0.8866 0.0000

Properties
Formation enthalpy at 0 K = 0.2683 eV/atom
Crystal system = tetragonal
SG = I4/mmm (139)
Calculated volume = 149.25 Å³ per cell